Record 1
Compound: TlPbO2
Source: the Alexandria database
Functional: PBE-GGA
Structure: optimized geometry

Energy above the lowest structure with this stoichiometry   0.057 eV/atom
Symmetry   No. 166
Energy relative to the elements, uncorrected   -690 meV per atom

Geometry as POSCAR:
```
TlPbO2
1.0
2.002 0.000 7.542
-1.001 1.733 7.542
-1.001 -1.733 7.542
O Tl Pb
2 1 1
direct
0.883 0.883 0.883
0.117 0.117 0.117
0.000 0.000 0.000
0.500 0.500 0.500
```

Record 2
Compound: Tl2Pb2O7
Source: the Alexandria database
Functional: PBE-GGA
Structure: optimized geometry

Symmetry   No. 227
Energy relative to the elements, uncorrected   -694 meV per atom

Geometry as POSCAR:
```
Tl2Pb2O7
1.0
-3.278 -2.922 6.308
-6.423 -4.180 -0.592
0.213 -7.575 1.284
Pb O Tl
4 14 4
direct
0.125 0.625 0.125
0.625 0.125 0.125
0.125 0.125 0.125
0.125 0.125 0.625
0.029 0.471 0.029
0.471 0.029 0.471
0.779 0.221 0.221
0.029 0.471 0.471
0.471 0.029 0.029
0.500 0.500 0.500
0.779 0.221 0.779
0.221 0.779 0.779
0.779 0.779 0.221
0.221 0.779 0.221
0.750 0.750 0.750
0.221 0.221 0.779
0.471 0.471 0.029
0.029 0.029 0.471
0.625 0.625 0.625
0.625 0.625 0.125
0.125 0.625 0.625
0.625 0.125 0.625
```

Record 3
Compound: TlPbO
Source: the Alexandria database
Functional: PBE-GGA
Structure: optimized geometry

Energy above the lowest structure with this stoichiometry   0.000 eV/atom
Symmetry   No. 62
Energy relative to the elements, uncorrected   -620 meV per atom

Geometry as POSCAR:
```
TlPbO
1.0
-3.247 -1.436 0.459
0.198 -2.017 -4.910
6.578 -13.071 5.634
O Tl Pb
4 4 4
direct
0.750 0.814 0.230
0.750 0.686 0.730
0.250 0.314 0.270
0.250 0.186 0.770
0.750 0.246 0.461
0.250 0.754 0.539
0.750 0.254 0.961
0.250 0.746 0.039
0.250 0.774 0.817
0.250 0.726 0.317
0.750 0.226 0.183
0.750 0.274 0.683
```

Record 4
Compound: Tl3PbO
Source: the Alexandria database
Functional: PBE-GGA
Structure: optimized geometry

Symmetry   No. 221
Energy relative to the elements, uncorrected   -80 meV per atom

Geometry as POSCAR:
```
Tl3PbO
1.0
-4.687 -0.917 -1.874
1.880 0.140 -4.771
0.904 -5.046 0.208
Tl Pb O
3 1 1
direct
0.000 0.000 0.500
0.500 0.000 0.000
0.000 0.500 0.000
0.500 0.500 0.500
0.000 0.000 0.000
```